A relaxed structure of Th3CdC. Source: OQMD via LeMat-Bulk, functional PBE-GGA.

a = 5.087 Å, b = 5.087 Å, c = 5.087 Å
α = 90.00°, β = 90.00°, γ = 90.00°
Atoms (fractional coordinates):
C  0.000  0.000  0.000
Cd  0.500  0.500  0.500
Th  0.500  0.000  0.000
Th  0.000  0.500  0.000
Th  0.000  0.000  0.500

E_tot, eV/atom: -6.677
Crystal system: cubic



A relaxed structure of Dy3Co2Ge3. Source: OQMD via LeMat-Bulk, functional PBE-GGA.

a = 5.620 Å, b = 5.620 Å, c = 14.022 Å
α = 90.00°, β = 90.00°, γ = 136.44°
Atoms (fractional coordinates):
Co  0.793  0.207  0.098
Co  0.793  0.207  0.402
Co  0.207  0.793  0.598
Co  0.207  0.793  0.902
Dy  0.082  0.918  0.109
Dy  0.360  0.640  0.250
Dy  0.082  0.918  0.391
Dy  0.918  0.082  0.609
Dy  0.640  0.360  0.750
Dy  0.918  0.082  0.891
Ge  0.369  0.631  0.039
Ge  0.662  0.338  0.250
Ge  0.369  0.631  0.461
Ge  0.631  0.369  0.539
Ge  0.338  0.662  0.750
Ge  0.631  0.369  0.961

E_tot, eV/atom: -5.956
Crystal system: orthorhombic